Record 1
BaZnIn (GGA-PBE, relaxed); size of the total moment = 0.00 Bohr magnetons per cell; density of states at the Fermi level = 3.6 states/eV/cell; energy = -2.2163 eV per atom; calculated formation energy = -0.238 eV per atom
1.0
5.8075 0.0000 0.0000
0.0000 4.8519 0.0000
-1.3867 0.0000 6.7078
Ba Zn In
2 2 2
Cartesian
-0.0555 1.2130 1.6130 Ba
4.4763 3.6389 5.0949 Ba
1.6330 3.6389 3.3741 Zn
2.7877 1.2130 3.3337 Zn
1.3824 1.2130 5.7253 In
3.0384 3.6389 0.9825 In

---

Record 2
BaZnIn2 (GGA-PBE, relaxed); size of the total moment = 0.00 Bohr magnetons per cell; density of states at the Fermi level = 1.9 states/eV/cell; energy = -2.3752 eV per atom; calculated formation energy = -0.207 eV per atom
1.0
4.4753 0.0000 0.0000
0.0000 4.6392 0.0000
-1.7555 0.0000 6.0901
Ba Zn In
1 1 2
Cartesian
0.0000 0.0000 0.0000 Ba
1.3599 0.0000 3.0450 Zn
0.2342 2.3196 4.1130 In
2.4855 2.3196 1.9771 In

---

Record 3
BaZn2In (GGA-PBE, relaxed); size of the total moment = 0.00 Bohr magnetons per cell; density of states at the Fermi level = 2.8 states/eV/cell; energy = -1.8239 eV per atom; calculated formation energy = -0.022 eV per atom
1.0
5.1075 0.0000 0.0000
0.0000 4.3031 0.0000
-0.0073 0.0000 5.1283
Ba Zn In
1 2 1
Cartesian
0.0000 0.0000 0.0000 Ba
-0.0037 2.1516 2.5642 Zn
2.5537 2.1516 0.0000 Zn
2.5501 0.0000 2.5642 In

---

Record 4
Ba2ZnIn (GGA-PBE, relaxed); size of the total moment = 0.00 Bohr magnetons per cell; density of states at the Fermi level = 7.6 states/eV/cell; energy = -2.2317 eV per atom; calculated formation energy = -0.267 eV per atom
1.0
6.4670 0.0000 0.0000
0.0000 4.9036 0.0000
-1.9551 0.0000 9.8308
Ba Zn In
4 2 2
Cartesian
0.5936 1.2259 4.1424 Ba
1.6719 3.6777 0.6568 Ba
2.8400 1.2259 9.1740 Ba
3.9183 3.6777 5.6884 Ba
0.7002 3.6777 7.0663 Zn
3.8117 1.2259 2.7645 Zn
-0.3906 1.2259 7.6098 In
4.9024 3.6777 2.2210 In

---

Q: Which value of energy does entry 4 give?
A: -2.2317 eV per atom

---

Copy entry 4 word for word.
Ba2ZnIn (GGA-PBE, relaxed); size of the total moment = 0.00 Bohr magnetons per cell; density of states at the Fermi level = 7.6 states/eV/cell; energy = -2.2317 eV per atom; calculated formation energy = -0.267 eV per atom
1.0
6.4670 0.0000 0.0000
0.0000 4.9036 0.0000
-1.9551 0.0000 9.8308
Ba Zn In
4 2 2
Cartesian
0.5936 1.2259 4.1424 Ba
1.6719 3.6777 0.6568 Ba
2.8400 1.2259 9.1740 Ba
3.9183 3.6777 5.6884 Ba
0.7002 3.6777 7.0663 Zn
3.8117 1.2259 2.7645 Zn
-0.3906 1.2259 7.6098 In
4.9024 3.6777 2.2210 In